1.
## TlCuCl5 (PBE)

Data for crystalline TlCuCl5 at its relaxed geometry.

## Properties
E   -38.9 eV per cell
Theoretical density   3603 kg/m³
Formation energy (no corrections)   -0.53 eV/atom
DOS(E_F)   1.07 states/eV/cell

Unit cell a=7.7709 b=7.4047 c=8.9739 alpha=110.74 beta=109.33 gamma=105.46
Fractional positions:
Tl: 0.8984 0.6984 0.2778
Tl: 0.1016 0.3016 0.7222
Cu: 0.5000 0.0000 0.0000
Cu: 0.5000 0.0000 0.5000
Cl: 0.7502 0.7165 0.0055
Cl: 0.2419 0.6792 0.3814
Cl: 0.4119 0.9241 0.2006
Cl: 0.8163 0.8302 0.5308
Cl: 0.1837 0.1698 0.4692
Cl: 0.7739 0.3004 0.2261
Cl: 0.2261 0.6996 0.7739
Cl: 0.5881 0.0759 0.7994
Cl: 0.7581 0.3208 0.6186
Cl: 0.2498 0.2835 0.9945


2.
## Os2PtCS (PBE)

Data for crystalline Os2PtCS at its relaxed geometry.

## Properties
E   -35.9 eV per cell
Theoretical density   14914 kg/m³
Formation energy (no corrections)   1.19 eV/atom
DOS(E_F)   5.35 states/eV/cell

Unit cell a=4.0321 b=4.2434 c=4.0321 alpha=90.00 beta=90.00 gamma=90.00
Fractional positions:
S: 0.0000 0.5000 0.0000
Os: 0.0000 0.0000 0.5000
Os: 0.5000 0.0000 0.0000
C: 0.0000 0.0000 0.0000
Pt: 0.5000 0.5000 0.5000


3.
## MgScVNi (PBE)

Data for crystalline MgScVNi at its relaxed geometry.

## Properties
E   -22.6 eV per cell
Theoretical density   4525 kg/m³
DOS(E_F)   2.67 states/eV/cell

Unit cell a=2.9033 b=2.9033 c=7.7881 alpha=90.00 beta=90.00 gamma=90.00
Fractional positions:
Mg: 0.0000 0.0000 0.5810
Sc: 0.0000 0.0000 0.0261
V: 0.5000 0.5000 0.2939
Ni: 0.5000 0.5000 0.8025


4.
## Pm3Nd2Ho6Er (PBE)

Data for crystalline Pm3Nd2Ho6Er at its relaxed geometry.

## Properties
E   -55.6 eV per cell
Theoretical density   8048 kg/m³
DOS(E_F)   14.29 states/eV/cell

Unit cell a=6.2067 b=6.2067 c=11.8083 alpha=95.01 beta=95.01 gamma=119.98
Fractional positions:
Pm: 0.1667 0.8333 0.5000
Pm: 0.8333 0.1667 0.5000
Pm: 0.5000 0.5000 0.5000
Nd: 0.3336 0.6664 0.0000
Nd: 0.6664 0.3336 0.0000
Ho: 0.9167 0.5840 0.7506
Ho: 0.7509 0.7509 0.2498
Ho: 0.0833 0.4160 0.2494
Ho: 0.5840 0.9167 0.7506
Ho: 0.2491 0.2491 0.7502
Ho: 0.4160 0.0833 0.2494
Er: 0.0000 0.0000 0.0000


5.
## LaSm3H (PBE)

Data for crystalline LaSm3H at its relaxed geometry.

## Properties
E   -23.3 eV per cell
Theoretical density   7213 kg/m³
DOS(E_F)   4.25 states/eV/cell

Unit cell a=5.1433 b=5.1433 c=5.1433 alpha=90.00 beta=90.00 gamma=90.00
Fractional positions:
H: 0.0000 0.0000 0.0000
Sm: 0.0000 0.5000 0.0000
Sm: 0.0000 0.0000 0.5000
Sm: 0.5000 0.0000 0.0000
La: 0.5000 0.5000 0.5000


6.
## Co2AuCl (PBE)

Data for crystalline Co2AuCl at its relaxed geometry.

## Properties
E   -18.4 eV per cell
Theoretical density   7468 kg/m³
Formation energy (no corrections)   0.24 eV/atom
DOS(E_F)   3.52 states/eV/cell

Unit cell a=6.0796 b=6.0796 c=4.4342 alpha=89.92 beta=89.92 gamma=28.37
Fractional positions:
Co: 0.0060 0.0060 0.9997
Co: 0.6518 0.6518 0.9991
Au: 0.5359 0.5359 0.4997
Cl: 0.3063 0.3063 0.0015


7.
## SrLi3Se (PBE)

Data for crystalline SrLi3Se at its relaxed geometry.

## Properties
E   -7.1 eV per cell
Theoretical density   1770 kg/m³
Formation energy (no corrections)   0.77 eV/atom
DOS(E_F)   2.93 states/eV/cell

Unit cell a=5.6018 b=5.6018 c=5.6018 alpha=90.00 beta=90.00 gamma=90.00
Fractional positions:
Sr: 0.0000 0.0000 0.0000
Se: 0.5000 0.5000 0.5000
Li: 0.0000 0.5000 0.0000
Li: 0.0000 0.0000 0.5000
Li: 0.5000 0.0000 0.0000


8.
## Ce2PrN3 (PBE)

Data for crystalline Ce2PrN3 at its relaxed geometry.

## Properties
E   -97.3 eV per cell
Theoretical density   7338 kg/m³
Formation energy (no corrections)   -1.17 eV/atom
DOS(E_F)   7.43 states/eV/cell

Unit cell a=6.6740 b=6.0226 c=6.0226 alpha=59.99 beta=90.00 gamma=90.00
Fractional positions:
Ce: 0.0000 0.1667 0.1667
Ce: 0.5000 0.1667 0.1667
Ce: 0.0000 0.8333 0.8333
Ce: 0.5000 0.8333 0.8333
Pr: 0.2500 0.5001 0.4999
Pr: 0.7500 0.4999 0.5001
N: 0.7500 0.9330 0.0670
N: 0.7500 0.0671 0.5001
N: 0.2500 0.5001 0.0671
N: 0.7500 0.4999 0.9329
N: 0.2500 0.9329 0.4999
N: 0.2500 0.0670 0.9330


9.
## Pa2TcBr (PBE)

Data for crystalline Pa2TcBr at its relaxed geometry.

## Properties
E   -32.4 eV per cell
Theoretical density   10372 kg/m³
Formation energy (no corrections)   -0.35 eV/atom
DOS(E_F)   6.20 states/eV/cell

Unit cell a=3.9717 b=3.9717 c=7.8429 alpha=75.33 beta=75.33 gamma=60.00
Fractional positions:
Pa: 0.2671 0.2671 0.1987
Pa: 0.7329 0.7329 0.8013
Tc: 0.0000 0.0000 0.0000
Br: 0.5000 0.5000 0.5000


10.
## NbIrCI (PBE)

Data for crystalline NbIrCI at its relaxed geometry.

## Properties
E   -28.7 eV per cell
Theoretical density   9870 kg/m³
Formation energy (no corrections)   0.25 eV/atom
DOS(E_F)   3.10 states/eV/cell

Unit cell a=3.4613 b=3.4613 c=6.8760 alpha=90.00 beta=90.00 gamma=120.00
Fractional positions:
I: 0.0000 0.0000 0.3142
Nb: 0.6667 0.3333 0.0010
Ir: 0.0000 0.0000 0.7283
C: 0.3333 0.6667 0.8250


11.
## Fe5Ir3 (PBE)

Data for crystalline Fe5Ir3 at its relaxed geometry.

## Properties
E   -135.3 eV per cell
Theoretical density   13023 kg/m³
DOS(E_F)   21.74 states/eV/cell

Unit cell a=7.3401 b=7.3390 c=4.6776 alpha=90.00 beta=90.00 gamma=60.02
Fractional positions:
Ir: 0.5957 0.0001 0.2500
Ir: 0.4043 0.9999 0.7500
Ir: 0.4043 0.5958 0.2500
Ir: 0.0000 0.4044 0.2500
Ir: 0.0001 0.5957 0.7500
Ir: 0.5958 0.4042 0.7500
Fe: 0.6667 0.6667 0.0000
Fe: 0.3333 0.3333 0.5000
Fe: 0.3333 0.3333 0.0000
Fe: 0.6667 0.6667 0.5000
Fe: 0.2234 0.0001 0.2500
Fe: 0.7767 0.0000 0.7500
Fe: 0.7766 0.2235 0.2500
Fe: 0.0000 0.7767 0.2500
Fe: 0.0001 0.2233 0.7500
Fe: 0.2235 0.7766 0.7500


12.
## Li2Tb2TmIn5 (PBE)

Data for crystalline Li2Tb2TmIn5 at its relaxed geometry.

## Properties
E   -70.0 eV per cell
Theoretical density   7653 kg/m³
DOS(E_F)   10.91 states/eV/cell

Unit cell a=4.4289 b=10.2621 c=10.2621 alpha=90.00 beta=90.00 gamma=90.00
Fractional positions:
Li: 0.0000 0.1188 0.6188
Li: 0.0000 0.8812 0.3812
Li: 0.0000 0.6188 0.8812
Li: 0.0000 0.3812 0.1188
Tb: 0.0000 0.6757 0.1757
Tb: 0.0000 0.3243 0.8243
Tb: 0.0000 0.1757 0.3243
Tb: 0.0000 0.8243 0.6757
Tm: 0.0000 0.0000 0.0000
Tm: 0.0000 0.5000 0.5000
In: 0.5000 0.2104 0.0724
In: 0.5000 0.7896 0.9276
In: 0.5000 0.0724 0.7896
In: 0.5000 0.7104 0.4276
In: 0.5000 0.9276 0.2104
In: 0.5000 0.2896 0.5724
In: 0.5000 0.5724 0.7104
In: 0.5000 0.4276 0.2896
In: 0.5000 0.5000 0.0000
In: 0.5000 0.0000 0.5000